Here is a geometry-optimized VN2Cl5 structure from Alexandria. Energies are from PBE.

Raw formation energy = 551 meV per atom

```
VN2Cl5
1.0
7.2035 0.0000 0.0000
-0.3106 7.1994 0.0000
-3.4241 -3.5873 5.3391
V N Cl
1 2 5
direct
0.0000 0.0000 0.0000
0.2142 0.7172 0.5092
0.7163 0.2132 0.5095
0.0628 0.0632 0.3507
0.2125 0.7840 0.0044
0.2199 0.2201 0.0065
0.7220 0.7213 0.6384
0.7837 0.2122 0.0048
```